Below is an optimized crystal structure of La3PaAs4, with properties calculated at the GGA-PBE level.

Lattice parameters (Å, degrees): 7.4390 7.4390 7.4390 131.89 131.89 70.40
Sites, in units of the cell vectors:
La  0.0000  0.0000  0.0000
La  0.2500  0.7500  0.5000
La  0.7500  0.2500  0.5000
Pa  0.5000  0.5000  0.0000
As  0.0000  0.5000  0.5000
As  0.2635  0.2635  0.0000
As  0.5000  0.0000  0.5000
As  0.7365  0.7365  0.0000

Calculated values
Volume   27.943 Å³/atom
Energy relative to the lowest polymorph listed for this composition   13 meV/atom
Space group   I4/mmm (139)
ΔH_f (0 K)   -1425 meV per atom
M_tot   0.024 μB per atom
Uncorrected energy   -6.78 eV/atom
ρ   7.04 Mg/m³

Below is an optimized crystal structure of La4PaAs5, with properties calculated at the GGA-PBE level.

Lattice parameters (Å, degrees): 7.4620 7.4620 7.4620 99.58 99.58 131.84
Sites, in units of the cell vectors:
La  0.0971  0.6987  0.7958
La  0.3013  0.0971  0.3985
La  0.6987  0.9029  0.6015
La  0.9029  0.3013  0.2042
Pa  0.5000  0.5000  0.0000
As  0.0000  0.0000  0.0000
As  0.2148  0.4049  0.6197
As  0.4049  0.7852  0.1902
As  0.5951  0.2148  0.8098
As  0.7852  0.5951  0.3803

Calculated values
Volume   28.261 Å³/atom
Space group   I4/m (87)
ΔH_f (0 K)   -1468 meV per atom
M_tot   0.022 μB per atom
Uncorrected energy   -6.71 eV/atom
ρ   6.82 Mg/m³

Below is an optimized crystal structure of La5Pa3As8, with properties calculated at the GGA-PBE level.

Lattice parameters (Å, degrees): 8.5280 8.5280 8.5280 59.76 59.76 59.76
Sites, in units of the cell vectors:
La  0.0000  0.0000  0.0000
La  0.0000  0.5000  0.5000
La  0.5000  0.0000  0.5000
La  0.5000  0.5000  0.0000
La  0.5000  0.5000  0.5000
Pa  0.0000  0.0000  0.5000
Pa  0.0000  0.5000  0.0000
Pa  0.5000  0.0000  0.0000
As  0.2338  0.7500  0.7500
As  0.2433  0.2433  0.2433
As  0.2500  0.2500  0.7662
As  0.2500  0.7662  0.2500
As  0.7500  0.2338  0.7500
As  0.7500  0.7500  0.2338
As  0.7567  0.7567  0.7567
As  0.7662  0.2500  0.2500

Calculated values
Volume   27.261 Å³/atom
Space group   R-3m (166)
ΔH_f (0 K)   -1367 meV per atom
M_tot   0.000 μB per atom
Uncorrected energy   -7.01 eV/atom
ρ   7.56 Mg/m³

What is the formula in the third record?
La5Pa3As8

Which formula does entry 2 have?
La4PaAs5

Number 1 is which compound?
La3PaAs4

What is the volume in the second record?
28.261 Å³/atom